Record 1
Entry from the Alexandria database: crystalline PuVAs at its relaxed geometry (GGA-PBE).

total energy: -9.753 eV per atom

a b c (Å): 7.013 7.013 4.146
angles (deg): 90.00 90.00 150.70
Atoms (fractional coordinates):
Pu: 0.048 0.952 0.750
Pu: 0.952 0.048 0.250
V: 0.262 0.738 0.250
V: 0.738 0.262 0.750
As: 0.371 0.629 0.750
As: 0.629 0.371 0.250

Record 2
Entry from the Alexandria database: crystalline YPuAs2 at its relaxed geometry (GGA-PBE).

energy above the most stable polymorph in this dataset: 0.07 kcal/mol of atoms

a b c (Å): 7.150 7.150 7.150
angles (deg): 131.86 131.86 70.45
Atoms (fractional coordinates):
Y: 0.375 0.625 0.750
Y: 0.625 0.375 0.250
Pu: 0.125 0.875 0.250
Pu: 0.875 0.125 0.750
As: 0.123 0.373 0.750
As: 0.373 0.123 0.250
As: 0.627 0.877 0.750
As: 0.877 0.627 0.250

Record 3
Entry from the Alexandria database: crystalline YPuAs2 at its relaxed geometry (GGA-PBE).

energy above the most stable polymorph in this dataset: 0.00 kcal/mol of atoms

a b c (Å): 7.121 7.121 7.121
angles (deg): 33.78 33.78 33.78
Atoms (fractional coordinates):
Y: 0.000 0.000 0.000
Pu: 0.500 0.500 0.500
As: 0.249 0.249 0.249
As: 0.751 0.751 0.751

Record 4
Entry from the Alexandria database: crystalline YPuAs2 at its relaxed geometry (GGA-PBE).

energy above the most stable polymorph in this dataset: 3.44 kcal/mol of atoms

a b c (Å): 7.343 7.343 7.343
angles (deg): 32.51 32.51 32.51
Atoms (fractional coordinates):
Y: 0.000 0.000 0.000
Pu: 0.172 0.172 0.172
As: 0.584 0.584 0.584
As: 0.755 0.755 0.755

Record 5
Entry from the Alexandria database: crystalline YPu2As3 at its relaxed geometry (GGA-PBE).

total energy: -9.380 eV per atom

a b c (Å): 7.147 7.147 7.147
angles (deg): 146.38 131.80 60.05
Atoms (fractional coordinates):
Y: 0.000 0.000 0.000
Pu: 0.334 0.334 0.000
Pu: 0.666 0.666 0.000
As: 0.169 0.669 0.500
As: 0.500 0.000 0.500
As: 0.831 0.331 0.500

Record 6
Entry from the Alexandria database: crystalline YPu2As3 at its relaxed geometry (GGA-PBE).

total energy: -9.380 eV per atom

a b c (Å): 13.701 13.063 7.152
angles (deg): 79.49 69.63 30.88
Atoms (fractional coordinates):
Y: 0.042 0.042 0.208
Y: 0.208 0.208 0.042
Y: 0.792 0.792 0.958
Y: 0.958 0.958 0.792
Pu: 0.125 0.125 0.625
Pu: 0.291 0.291 0.459
Pu: 0.375 0.375 0.875
Pu: 0.459 0.459 0.291
Pu: 0.541 0.541 0.709
Pu: 0.625 0.625 0.125
Pu: 0.709 0.709 0.541
Pu: 0.875 0.875 0.375
As: 0.042 0.542 0.210
As: 0.127 0.623 0.623
As: 0.210 0.705 0.042
As: 0.295 0.790 0.458
As: 0.377 0.873 0.873
As: 0.458 0.958 0.295
As: 0.542 0.042 0.705
As: 0.623 0.127 0.127
As: 0.705 0.210 0.542
As: 0.790 0.295 0.958
As: 0.873 0.377 0.377
As: 0.958 0.458 0.790

Record 7
Entry from the Alexandria database: crystalline Y2PuAs3 at its relaxed geometry (GGA-PBE).

total energy: -7.888 eV per atom

a b c (Å): 9.132 9.132 9.132
angles (deg): 154.06 154.06 37.01
Atoms (fractional coordinates):
Y: 0.168 0.168 0.000
Y: 0.832 0.832 0.000
Pu: 0.500 0.500 0.000
As: 0.000 0.000 0.000
As: 0.336 0.336 0.000
As: 0.664 0.664 0.000

Record 8
Entry from the Alexandria database: crystalline YPuZr2As4 at its relaxed geometry (GGA-PBE).

total energy: -8.296 eV per atom

a b c (Å): 6.887 3.981 6.951
angles (deg): 90.00 109.26 90.00
Atoms (fractional coordinates):
Y: 0.000 0.000 0.000
Pu: 0.500 0.500 0.000
Zr: 0.000 0.500 0.500
Zr: 0.500 0.000 0.500
As: 0.246 0.000 0.736
As: 0.255 0.500 0.264
As: 0.745 0.500 0.736
As: 0.754 0.000 0.264

Record 9
Entry from the Alexandria database: crystalline Y2PuZrAs4 at its relaxed geometry (GGA-PBE).

total energy: -8.117 eV per atom

a b c (Å): 7.018 4.055 7.022
angles (deg): 90.00 109.26 90.00
Atoms (fractional coordinates):
Y: 0.000 0.000 0.000
Y: 0.500 0.500 0.000
Pu: 0.000 0.500 0.500
Zr: 0.500 0.000 0.500
As: 0.255 0.000 0.743
As: 0.260 0.500 0.261
As: 0.740 0.500 0.739
As: 0.745 0.000 0.257

Record 10
Entry from the Alexandria database: crystalline YPu2ZrAs4 at its relaxed geometry (GGA-PBE).

total energy: -8.988 eV per atom

a b c (Å): 7.012 4.059 7.055
angles (deg): 90.00 109.41 90.00
Atoms (fractional coordinates):
Y: 0.000 0.000 0.000
Pu: 0.500 0.000 0.500
Pu: 0.500 0.500 0.000
Zr: 0.000 0.500 0.500
As: 0.241 0.000 0.739
As: 0.246 0.500 0.257
As: 0.754 0.500 0.743
As: 0.759 0.000 0.261

Record 11
Entry from the Alexandria database: crystalline PuZnAs2 at its relaxed geometry (GGA-PBE).

total energy: -6.804 eV per atom

a b c (Å): 10.169 10.169 10.169
angles (deg): 157.02 157.02 32.73
Atoms (fractional coordinates):
Pu: 0.109 0.109 0.000
Pu: 0.891 0.891 0.000
Zn: 0.250 0.750 0.500
Zn: 0.750 0.250 0.500
As: 0.000 0.500 0.500
As: 0.338 0.338 0.000
As: 0.500 0.000 0.500
As: 0.662 0.662 0.000

Record 12
Entry from the Alexandria database: crystalline Pu2ZnAs4 at its relaxed geometry (GGA-PBE).

total energy: -7.588 eV per atom

a b c (Å): 3.947 3.947 9.702
angles (deg): 90.00 90.00 90.00
Atoms (fractional coordinates):
Pu: 0.000 0.500 0.237
Pu: 0.500 0.000 0.763
Zn: 0.000 0.000 0.500
As: 0.000 0.000 0.000
As: 0.000 0.500 0.665
As: 0.500 0.000 0.335
As: 0.500 0.500 0.000

Record 13
Entry from the Alexandria database: crystalline PuZnAs2 at its relaxed geometry (GGA-PBE).

total energy: -6.453 eV per atom

a b c (Å): 7.829 7.829 7.829
angles (deg): 32.57 32.57 32.57
Atoms (fractional coordinates):
Pu: 0.000 0.000 0.000
Zn: 0.500 0.500 0.500
As: 0.395 0.395 0.395
As: 0.605 0.605 0.605

Record 14
Entry from the Alexandria database: crystalline PuZnAs2 at its relaxed geometry (GGA-PBE).

total energy: -6.748 eV per atom

a b c (Å): 4.459 4.459 3.875
angles (deg): 90.00 90.00 90.00
Atoms (fractional coordinates):
Pu: 0.000 0.000 0.000
Zn: 0.500 0.500 0.000
As: 0.000 0.500 0.500
As: 0.500 0.000 0.500

Record 15
Entry from the Alexandria database: crystalline PuZr2As at its relaxed geometry (GGA-PBE).

total energy: -9.358 eV per atom

a b c (Å): 8.889 8.889 8.889
angles (deg): 22.83 22.83 22.83
Atoms (fractional coordinates):
Pu: 0.000 0.000 0.000
Zr: 0.235 0.235 0.235
Zr: 0.765 0.765 0.765
As: 0.500 0.500 0.500

Record 16
Entry from the Alexandria database: crystalline Pu3ZrAs4 at its relaxed geometry (GGA-PBE).

energy above the most stable polymorph in this dataset: 2.17 kcal/mol of atoms

a b c (Å): 13.882 13.882 13.882
angles (deg): 16.75 16.75 16.75
Atoms (fractional coordinates):
Pu: 0.000 0.000 0.000
Pu: 0.088 0.088 0.088
Pu: 0.912 0.912 0.912
Zr: 0.500 0.500 0.500
As: 0.204 0.204 0.204
As: 0.377 0.377 0.377
As: 0.623 0.623 0.623
As: 0.796 0.796 0.796

Record 17
Entry from the Alexandria database: crystalline Pu3ZrAs4 at its relaxed geometry (GGA-PBE).

energy above the most stable polymorph in this dataset: 0.00 kcal/mol of atoms

a b c (Å): 7.047 8.120 7.030
angles (deg): 90.00 109.58 90.00
Atoms (fractional coordinates):
Pu: 0.000 0.123 0.250
Pu: 0.000 0.373 0.750
Pu: 0.000 0.627 0.250
Pu: 0.000 0.877 0.750
Pu: 0.500 0.374 0.250
Pu: 0.500 0.626 0.750
Zr: 0.500 0.123 0.750
Zr: 0.500 0.877 0.250
As: 0.256 0.369 0.506
As: 0.256 0.631 0.006
As: 0.261 0.119 0.001
As: 0.261 0.881 0.501
As: 0.739 0.119 0.499
As: 0.739 0.881 0.999
As: 0.744 0.369 0.994
As: 0.744 0.631 0.494

Record 18
Entry from the Alexandria database: crystalline Pu2ZrAs3 at its relaxed geometry (GGA-PBE).

energy above the most stable polymorph in this dataset: 0.56 kcal/mol of atoms

a b c (Å): 9.001 9.001 9.001
angles (deg): 153.96 153.96 37.16
Atoms (fractional coordinates):
Pu: 0.166 0.166 0.000
Pu: 0.834 0.834 0.000
Zr: 0.500 0.500 0.000
As: 0.000 0.000 0.000
As: 0.338 0.338 0.000
As: 0.662 0.662 0.000

Record 19
Entry from the Alexandria database: crystalline Pu4ZrAs5 at its relaxed geometry (GGA-PBE).

total energy: -9.967 eV per atom

a b c (Å): 7.068 7.068 7.068
angles (deg): 99.62 99.62 131.74
Atoms (fractional coordinates):
Pu: 0.097 0.700 0.797
Pu: 0.300 0.097 0.397
Pu: 0.700 0.903 0.603
Pu: 0.903 0.300 0.203
Zr: 0.500 0.500 0.000
As: 0.000 0.000 0.000
As: 0.209 0.402 0.612
As: 0.402 0.791 0.193
As: 0.598 0.209 0.807
As: 0.791 0.598 0.388

Record 20
Entry from the Alexandria database: crystalline Pu2ZrAs3 at its relaxed geometry (GGA-PBE).

energy above the most stable polymorph in this dataset: 0.00 kcal/mol of atoms

a b c (Å): 7.023 7.023 7.023
angles (deg): 146.72 131.92 59.73
Atoms (fractional coordinates):
Pu: 0.169 0.169 0.000
Pu: 0.831 0.831 0.000
Zr: 0.500 0.500 0.000
As: 0.000 0.500 0.500
As: 0.342 0.842 0.500
As: 0.658 0.158 0.500